Entry from the Alexandria database: crystalline CePaAlHg at its relaxed geometry (PBE-GGA).

Results
Energy relative to the elements = 0.037 eV/atom
D(E_F) = 48.978 states/eV per cell
Spin magnetization = 0.42 μB/atom
Uncorrected energy = -77.3 eV per cell

Cell: 7.4078 7.4078 7.4078 Å, 90.00 90.00 90.00°
Closest atoms and distances in Å follow each position.
Sites, in units of the cell vectors:
Ce 0.0000 0.0000 0.0000  4 Al 3.21, 4 Hg 3.21
Ce 0.0000 0.5000 0.5000  4 Al 3.21, 4 Hg 3.21
Ce 0.5000 0.0000 0.5000  4 Al 3.21, 4 Hg 3.21
Ce 0.5000 0.5000 0.0000  4 Al 3.21, 4 Hg 3.21
Pa 0.0000 0.0000 0.5000  4 Hg 3.21, 4 Al 3.21
Pa 0.0000 0.5000 0.0000  4 Hg 3.21, 4 Al 3.21
Pa 0.5000 0.0000 0.0000  4 Hg 3.21, 4 Al 3.21
Pa 0.5000 0.5000 0.5000  4 Hg 3.21, 4 Al 3.21
Al 0.2500 0.2500 0.2500  4 Ce 3.21, 4 Pa 3.21
Al 0.2500 0.7500 0.7500  4 Ce 3.21, 4 Pa 3.21
Al 0.7500 0.2500 0.7500  4 Ce 3.21, 4 Pa 3.21
Al 0.7500 0.7500 0.2500  4 Ce 3.21, 4 Pa 3.21
Hg 0.2500 0.2500 0.7500  4 Ce 3.21, 4 Pa 3.21
Hg 0.2500 0.7500 0.2500  4 Ce 3.21, 4 Pa 3.21
Hg 0.7500 0.2500 0.2500  4 Ce 3.21, 4 Pa 3.21
Hg 0.7500 0.7500 0.7500  4 Ce 3.21, 4 Pa 3.21